## Pr4NdZn (PBE-GGA)

Data for Pr4NdZn after structural relaxation.

Computed properties:
DFT formation energy = -0.02 eV per atom
E = -4.2175 eV per atom
crystal system = triclinic
N(E_F) = 6.9 states/eV per cell

Lattice parameters (Å, degrees): 3.700 6.139 8.832 81.85 77.97 90.00
Space group P1 (No. 1)
Unique sites:
Pr  0.000  0.000  0.000 x1
Pr  0.142  0.459  0.710 x1
Pr  0.290  0.102  0.416 x1
Pr  0.473  0.504  0.053 x1
Nd  0.810  0.639  0.375 x1
Zn  0.644  0.906  0.709 x1


## CaZrHgAu (PBE-GGA)

Data for CaZrHgAu after structural relaxation.

Computed properties:
DFT formation energy = -0.36 eV per atom
E = -3.8894 eV per atom
crystal system = cubic
N(E_F) = 12.8 states/eV per cell

Lattice parameters (Å, degrees): 7.145 7.145 7.145 90.00 90.00 90.00
Space group F-43m (No. 216)
Unique sites:
Ca  0.000  0.000  0.000 x4
Zr  0.000  0.000  0.500 x4
Hg  0.250  0.250  0.750 x4
Au  0.250  0.250  0.250 x4


## SmGdHg2 (PBE-GGA)

Data for SmGdHg2 after structural relaxation.

Computed properties:
DFT formation energy = -0.49 eV per atom
E = -5.3435 eV per atom
crystal system = tetragonal
N(E_F) = 5.9 states/eV per cell

Lattice parameters (Å, degrees): 5.317 5.317 3.796 90.00 90.00 90.00
Space group P4/mmm (No. 123)
Unique sites:
Sm  0.000  0.000  0.000 x1
Gd  0.500  0.500  0.000 x1
Hg  0.000  0.500  0.500 x2


## YTa3H (PBE-GGA)

Data for YTa3H after structural relaxation.

Computed properties:
E = -5.9624 eV per atom
crystal system = cubic
N(E_F) = 7.4 states/eV per cell

Lattice parameters (Å, degrees): 4.980 4.980 4.980 90.00 90.00 90.00
Space group Pm-3m (No. 221)
Unique sites:
Y  0.000  0.000  0.000 x1
Ta  0.000  0.000  0.500 x3
H  0.500  0.500  0.500 x1


## Rb2RuPbO4 (PBE-GGA)

Data for Rb2RuPbO4 after structural relaxation.

Computed properties:
formation energy without anion corrections = -1065 meV per atom
E = -5.4091 eV per atom
crystal system = triclinic
N(E_F) = 0.4 states/eV per cell

Lattice parameters (Å, degrees): 5.815 5.821 6.156 111.98 116.44 97.46
Space group P1 (No. 1)
Unique sites:
Rb  0.000  0.000  0.000 x1
Rb  0.264  0.764  0.500 x1
Ru  0.750  0.250  0.500 x1
Pb  0.495  0.494  0.000 x1
O  0.051  0.455  0.899 x1
O  0.491  0.371  0.553 x1
O  0.555  0.151  0.100 x1
O  0.820  0.939  0.447 x1


## BaSi2Ag (PBE-GGA)

Data for BaSi2Ag after structural relaxation.

Computed properties:
formation energy without anion corrections = 333 meV per atom
E = -3.5720 eV per atom
crystal system = tetragonal
N(E_F) = 4.0 states/eV per cell

Lattice parameters (Å, degrees): 4.783 4.783 8.519 90.00 90.00 90.00
Space group I-4m2 (No. 119)
Unique sites:
Ba  0.000  0.000  0.000 x2
Si  0.000  0.000  0.500 x2
Si  0.000  0.500  0.750 x2
Ag  0.000  0.500  0.250 x2